This record from Alexandria describes a geometry-optimized CaPIr2 structure. The functional is PBE.

Cell: 4.001 4.001 4.879 Å, 90.00 90.00 90.00°
Atoms (fractional coordinates):
Ca (0.000, 0.000, 0.000)
P (0.500, 0.500, 0.708)
Ir (0.000, 0.500, 0.482)
Ir (0.500, 0.000, 0.482)

Formation energy from the elements, eV/f.u.: -2.09
Density of states at the Fermi level, states/eV per cell: 3.5